Tl2SnBr2Cl2: relaxed, PBE.

raw formation energy: -892 meV per atom

abc: 5.5386 5.5386 9.2932
angles: 107.34 107.34 90.00
Fractional coordinates of all 7 atoms:
1 Tl 0.3608 0.3608 0.7216
2 Tl 0.6392 0.6392 0.2784
3 Sn 0.0000 0.0000 0.0000
4 Br 0.1759 0.1759 0.3518
5 Br 0.8241 0.8241 0.6482
6 Cl 0.0000 0.5000 0.0000
7 Cl 0.5000 0.0000 0.0000